# Pr4ErSe6 | the Alexandria database | PBE | relaxed
data_Pr4ErSe6
_symmetry_space_group_name_H-M 'R -3 c'
_symmetry_Int_Tables_number 167
_symmetry_space_group_name_Hall '-R 3 2"c'
_cell_length_a 11.9365
_cell_length_b 11.9365
_cell_length_c 14.2452
_cell_angle_alpha 90.00
_cell_angle_beta 90.00
_cell_angle_gamma 120.00
loop_
_atom_site_label
_atom_site_type_symbol
_atom_site_fract_x
_atom_site_fract_y
_atom_site_fract_z
Pr1 Pr 0.0000 0.0000 0.2500
Pr2 Pr 0.0000 0.3844 0.2500
Er1 Er 0.0000 0.0000 0.0000
Se1 Se 0.0303 0.2036 0.3874
# Final energy ... -5.808 eV per atom


# NiAsP2 | the Alexandria database | PBE | relaxed
data_NiAsP2
_symmetry_space_group_name_H-M 'I m m 2'
_symmetry_Int_Tables_number 44
_cell_length_a 3.0963
_cell_length_b 4.5280
_cell_length_c 12.2816
_cell_angle_alpha 90.00
_cell_angle_beta 90.00
_cell_angle_gamma 90.00
loop_
_symmetry_equiv_pos_as_xyz
'x,y,z'
'-x,-y,z'
'-x,y,z'
'x,-y,z'
'x+1/2,y+1/2,z+1/2'
'-x+1/2,-y+1/2,z+1/2'
'-x+1/2,y+1/2,z+1/2'
'x+1/2,-y+1/2,z+1/2'
loop_
_atom_site_label
_atom_site_type_symbol
_atom_site_fract_x
_atom_site_fract_y
_atom_site_fract_z
Ni1 Ni 0.0000 0.0000 0.0000
As1 As 0.0000 0.5000 0.3606
P1 P 0.0000 0.0000 0.2650
P2 P 0.0000 0.5000 0.6449
# Calculated formation energy ... 290 meV per atom